(1)
Computed, not measured: a relaxed structure of PrHoTm3Th at the GGA-PBE level of DFT.

abc: 10.5956 3.5553 10.6345
angles: 90.00 109.05 90.00
Space group P2_1/m (No. 11)
Asymmetric unit:
Pr 0.2083 0.2500 0.3732 (multiplicity 2)
Ho 0.1264 0.7500 0.6302 (multiplicity 2)
Tm 0.0440 0.2500 0.8769 (multiplicity 2)
Tm 0.2941 0.7500 0.1193 (multiplicity 2)
Tm 0.4594 0.7500 0.6298 (multiplicity 2)
Th 0.3765 0.2500 0.8749 (multiplicity 2)

## Properties
Calculated formation energy   0.024 eV per atom
Volume   31.556 Å³ per atom

(2)
Computed, not measured: a relaxed structure of V6NiRh12 at the GGA-PBE level of DFT.

abc: 9.0352 9.0352 11.4004
angles: 90.00 90.00 120.00
Space group R-3 (No. 148, hexagonal axes)
Asymmetric unit:
V 0.0258 0.4250 0.2122 (multiplicity 18)
Ni 0.0000 0.0000 0.5000 (multiplicity 3)
Rh 0.0229 0.1837 0.3269 (multiplicity 18)
Rh 0.0486 0.8433 0.9096 (multiplicity 18)

## Properties
Calculated formation energy   -0.250 eV per atom
Volume   14.140 Å³ per atom

(3)
Computed, not measured: a relaxed structure of BaCaRe2 at the GGA-PBE level of DFT.

abc: 3.7800 5.2701 11.3326
angles: 90.00 90.00 90.00
Space group Imm2 (No. 44)
Asymmetric unit:
Ba 0.0000 0.0000 0.0000 (multiplicity 2)
Ca 0.0000 0.5000 0.7729 (multiplicity 2)
Re 0.0000 0.0000 0.5998 (multiplicity 2)
Re 0.0000 0.5000 0.2254 (multiplicity 2)

## Properties
Energy relative to the lowest polymorph listed for this composition   0.299 eV per atom
Calculated formation energy   0.650 eV per atom
Volume   28.220 Å³ per atom

(4)
Computed, not measured: a relaxed structure of AcLaAlHg at the GGA-PBE level of DFT.

abc: 7.8943 7.8943 7.8943
angles: 90.00 90.00 90.00
Space group F-43m (No. 216)
Asymmetric unit:
Ac 0.0000 0.0000 0.0000 (multiplicity 4)
La 0.0000 0.0000 0.5000 (multiplicity 4)
Al 0.2500 0.2500 0.2500 (multiplicity 4)
Hg 0.2500 0.2500 0.7500 (multiplicity 4)

## Properties
Energy relative to the lowest polymorph listed for this composition   0.040 eV per atom
Calculated formation energy   -0.352 eV per atom
Volume   30.749 Å³ per atom

(5)
Computed, not measured: a relaxed structure of Sm6TeRh3 at the GGA-PBE level of DFT.

abc: 11.9470 4.1516 12.0517
angles: 90.00 108.06 90.00
Space group P2_1/m (No. 11)
Asymmetric unit:
Sm 0.0337 0.2500 0.4024 (multiplicity 2)
Sm 0.1162 0.2500 0.9698 (multiplicity 2)
Sm 0.1945 0.7500 0.2661 (multiplicity 2)
Sm 0.2550 0.7500 0.7822 (multiplicity 2)
Sm 0.3541 0.2500 0.5546 (multiplicity 2)
Sm 0.4334 0.7500 0.1007 (multiplicity 2)
Te 0.4302 0.2500 0.3205 (multiplicity 2)
Rh 0.0225 0.2500 0.1689 (multiplicity 2)
Rh 0.1847 0.7500 0.5125 (multiplicity 2)
Rh 0.3444 0.2500 0.9348 (multiplicity 2)

## Properties
Uncorrected formation energy   -72.0 kJ per mole of atoms
Volume   28.414 Å³ per atom

(6)
Computed, not measured: a relaxed structure of HfTlAsW2 at the GGA-PBE level of DFT.

abc: 5.0210 5.0210 4.9996
angles: 90.00 90.00 90.00
Space group P4/mmm (No. 123)
Asymmetric unit:
Hf 0.0000 0.0000 0.0000 (multiplicity 1)
Tl 0.5000 0.5000 0.5000 (multiplicity 1)
As 0.0000 0.0000 0.5000 (multiplicity 1)
W 0.0000 0.5000 0.0000 (multiplicity 2)

## Properties
Calculated formation energy   1.920 eV per atom
Volume   25.209 Å³ per atom